No. 1
Y7Te2: optimized geometry, PBEsol.

spin magnetization = 0.01 Bohr magnetons per cell
SG = No. 62

Lattice parameters (Å, degrees): 22.7820 3.8876 11.9219 90.00 90.00 90.00
Element x y z (fractional)
Y 0.0247 0.2500 0.1198
Y 0.0458 0.7500 0.3821
Y 0.0739 0.7500 0.6586
Y 0.1029 0.2500 0.8694
Y 0.1551 0.7500 0.0875
Y 0.1684 0.2500 0.5280
Y 0.2249 0.7500 0.7535
Y 0.2751 0.2500 0.2535
Y 0.3316 0.7500 0.0280
Y 0.3449 0.2500 0.5875
Y 0.3971 0.7500 0.3694
Y 0.4261 0.2500 0.1586
Y 0.4542 0.2500 0.8821
Y 0.4753 0.7500 0.6198
Y 0.5247 0.2500 0.3802
Y 0.5458 0.7500 0.1179
Y 0.5739 0.7500 0.8414
Y 0.6029 0.2500 0.6306
Y 0.6551 0.7500 0.4125
Y 0.6684 0.2500 0.9720
Y 0.7249 0.7500 0.7465
Y 0.7751 0.2500 0.2465
Y 0.8316 0.7500 0.4720
Y 0.8449 0.2500 0.9125
Y 0.8971 0.7500 0.1306
Y 0.9261 0.2500 0.3414
Y 0.9542 0.2500 0.6179
Y 0.9753 0.7500 0.8802
Te 0.1382 0.2500 0.2798
Te 0.2345 0.2500 0.9593
Te 0.2655 0.7500 0.4593
Te 0.3618 0.7500 0.7798
Te 0.6382 0.2500 0.2202
Te 0.7345 0.2500 0.5407
Te 0.7655 0.7500 0.0407
Te 0.8618 0.7500 0.7202

No. 2
YTe3: optimized geometry, PBEsol.

spin magnetization = 0.00 Bohr magnetons per cell
SG = No. 221

Lattice parameters (Å, degrees): 5.8008 5.8008 5.8008 90.00 90.00 90.00
Element x y z (fractional)
Y 0.0000 0.0000 0.0000
Te 0.0000 0.0000 0.5000
Te 0.0000 0.5000 0.0000
Te 0.5000 0.0000 0.0000

No. 3
Y2Te: optimized geometry, PBEsol.

spin magnetization = 0.00 Bohr magnetons per cell
SG = No. 63

Lattice parameters (Å, degrees): 7.9192 7.9192 5.9523 90.00 90.00 151.10
Element x y z (fractional)
Y 0.0538 0.9462 0.7500
Y 0.3566 0.6434 0.7500
Y 0.6434 0.3566 0.2500
Y 0.9462 0.0538 0.2500
Te 0.2975 0.7025 0.2500
Te 0.7025 0.2975 0.7500

No. 4
YTe3: optimized geometry, PBEsol.

spin magnetization = 0.00 Bohr magnetons per cell
SG = No. 221

Lattice parameters (Å, degrees): 4.7927 4.7927 4.7927 90.00 90.00 90.00
Element x y z (fractional)
Y 0.0000 0.0000 0.0000
Te 0.0000 0.5000 0.5000
Te 0.5000 0.0000 0.5000
Te 0.5000 0.5000 0.0000

No. 5
Y2ZnTe: optimized geometry, PBEsol.

spin magnetization = 0.00 Bohr magnetons per cell
excess energy over the best structure of this formula in the dataset = 0.0 meV/atom
SG = No. 38

Lattice parameters (Å, degrees): 4.1297 5.9737 5.9737 41.45 90.00 90.00
Element x y z (fractional)
Y 0.0000 0.0000 0.0000
Y 0.5000 0.2849 0.2849
Zn 0.0000 0.7478 0.7478
Te 0.5000 0.5649 0.5649

No. 6
Y2ZnTe: optimized geometry, PBEsol.

spin magnetization = 0.00 Bohr magnetons per cell
excess energy over the best structure of this formula in the dataset = 4.2 meV/atom
SG = No. 166

Lattice parameters (Å, degrees): 7.7337 7.7337 7.7337 30.37 30.37 30.37
Element x y z (fractional)
Y 0.2464 0.2464 0.2464
Y 0.7536 0.7536 0.7536
Zn 0.5000 0.5000 0.5000
Te 0.0000 0.0000 0.0000

No. 7
Y2ZnTe: optimized geometry, PBEsol.

spin magnetization = 0.00 Bohr magnetons per cell
excess energy over the best structure of this formula in the dataset = 124.8 meV/atom
SG = No. 65

Lattice parameters (Å, degrees): 5.1618 5.1618 3.6495 90.00 90.00 100.13
Element x y z (fractional)
Y 0.0000 0.5000 0.0000
Y 0.5000 0.0000 0.0000
Zn 0.0000 0.0000 0.5000
Te 0.5000 0.5000 0.5000

No. 8
YZn4Te: optimized geometry, PBEsol.

spin magnetization = 0.00 Bohr magnetons per cell
SG = No. 216

Lattice parameters (Å, degrees): 5.4109 5.4109 5.4109 60.00 60.00 60.00
Element x y z (fractional)
Y 0.0000 0.0000 0.0000
Zn 0.3746 0.3746 0.3746
Zn 0.3746 0.3746 0.8763
Zn 0.3746 0.8763 0.3746
Zn 0.8763 0.3746 0.3746
Te 0.7500 0.7500 0.7500

| no. | formation energy (no corrections) (eV/atom) |
| --- | --- |
| 1 | -0.585 |
| 2 | -0.177 |
| 3 | -0.845 |
| 4 | -0.443 |
| 5 | -0.805 |
| 6 | -0.801 |
| 7 | -0.680 |
| 8 | -0.149 |